Entry from Alexandria: a relaxed structure of La8Ga3SbI4 (PBE).

The structure in extended XYZ format:
```
16
Lattice="9.1516 0.0000 0.0000 0.0000 9.2344 0.0518 -4.5758 -4.5733 6.4744" Properties=species:S:1:pos:R:3 pbc="T T T"
La -2.2079 2.1638 6.3235
La 0.0000 4.3710 3.1996
La 0.0000 0.2687 3.4242
La 2.2079 2.1638 6.3235
La 2.3679 2.4973 0.2026
La 4.5758 4.3924 3.1020
La 4.5758 0.2901 3.3266
La 6.7837 2.4973 0.2026
Ga 4.5758 4.6172 0.0259
Ga 2.2879 2.3305 3.2631
Ga -2.2879 2.3305 3.2631
Sb 0.0000 4.6172 0.0259
I 4.5758 0.0000 0.0000
I 2.2879 -2.2867 3.2372
I 0.0000 0.0000 0.0000
I -2.2879 -2.2867 3.2372
```

**Raw formation energy**: -930 meV per atom

=====

Entry from Alexandria: a relaxed structure of DyEr2Bi (PBE).

The structure in extended XYZ format:
```
4
Lattice="4.8357 0.0000 0.0000 0.0000 4.8334 0.0000 0.0000 0.0000 4.8334" Properties=species:S:1:pos:R:3 pbc="T T T"
Dy 2.4178 2.4167 2.4167
Bi 2.4178 0.0000 0.0000
Er 0.0000 0.0000 2.4167
Er 0.0000 2.4167 0.0000
```

**DFT formation energy**: -1.25 eV per formula unit

=====

Entry from Alexandria: a relaxed structure of ScMoRh2 (PBE).

The structure in extended XYZ format:
```
4
Lattice="-0.5775 -2.9252 4.0625 3.1167 -3.9565 0.1648 0.5720 4.9476 -0.7669" Properties=species:S:1:pos:R:3 pbc="T T T"
Mo 0.6320 -0.7092 2.7046
Rh 0.0000 0.0000 0.0000
Rh 2.4791 -1.2248 0.7558
Sc 1.2696 -3.4408 2.1137
```

**DFT formation energy**: -1.19 eV per formula unit

=====

no.,M_tot (μB/f.u.)
1,0.000
2,0.001
3,0.000